(1)
VASP calculation (PBE) on a relaxed structure of ScSiNiPt.

abc: 4.361 4.361 4.361
angles: 60.00 60.00 60.00
Positions (direct):
Sc 0.000 0.000 0.000
Si 0.500 0.500 0.500
Ni 0.750 0.750 0.750
Pt 0.250 0.250 0.250

## Properties
The value obtained for the energy above the most stable polymorph in this dataset is 0 meV per atom. Its symmetry is F-43m, No. 216.

(2)
VASP calculation (PBE) on a relaxed structure of ScTlNiPt.

abc: 4.615 4.615 4.615
angles: 60.00 60.00 60.00
Positions (direct):
Sc 0.000 0.000 0.000
Tl 0.250 0.250 0.250
Ni 0.500 0.500 0.500
Pt 0.750 0.750 0.750

## Properties
The value obtained for the energy above the most stable polymorph in this dataset is 135 meV per atom. Its symmetry is F-43m, No. 216.

(3)
VASP calculation (PBE) on a relaxed structure of ScTlNiPt.

abc: 4.608 4.608 4.608
angles: 60.00 60.00 60.00
Positions (direct):
Sc 0.000 0.000 0.000
Tl 0.500 0.500 0.500
Ni 0.750 0.750 0.750
Pt 0.250 0.250 0.250

## Properties
The value obtained for the energy above the most stable polymorph in this dataset is 0 meV per atom. Its symmetry is F-43m, No. 216.

(4)
VASP calculation (PBE) on a relaxed structure of NiPt3Se6.

abc: 7.652 7.652 3.846
angles: 90.00 90.00 108.47
Positions (direct):
Ni 0.000 0.000 0.000
Pt 0.000 0.500 0.500
Pt 0.500 0.000 0.500
Pt 0.500 0.500 0.000
Se 0.136 0.864 0.500
Se 0.166 0.414 0.000
Se 0.414 0.166 0.000
Se 0.586 0.834 0.000
Se 0.834 0.586 0.000
Se 0.864 0.136 0.500

## Properties
Its symmetry is Cmmm, No. 65.

(5)
VASP calculation (PBE) on a relaxed structure of NiPt2Se5.

abc: 6.460 6.460 15.857
angles: 90.03 90.03 146.59
Positions (direct):
Ni 0.204 0.796 0.750
Ni 0.796 0.204 0.250
Pt 0.279 0.719 0.400
Pt 0.281 0.721 0.100
Pt 0.719 0.279 0.900
Pt 0.721 0.281 0.600
Se 0.089 0.910 0.862
Se 0.090 0.911 0.638
Se 0.180 0.820 0.250
Se 0.346 0.654 0.552
Se 0.346 0.654 0.948
Se 0.654 0.346 0.052
Se 0.654 0.346 0.448
Se 0.820 0.180 0.750
Se 0.910 0.089 0.362
Se 0.911 0.090 0.138

## Properties
Its symmetry is C2/c, No. 15.

(6)
VASP calculation (PBE) on a relaxed structure of Tl2NiPt3Se6.

abc: 7.395 7.395 6.001
angles: 90.00 90.00 120.00
Positions (direct):
Tl 0.333 0.667 0.144
Tl 0.667 0.333 0.856
Ni 0.000 0.000 0.500
Pt 0.000 0.500 0.500
Pt 0.500 0.000 0.500
Pt 0.500 0.500 0.500
Se 0.164 0.327 0.708
Se 0.164 0.836 0.708
Se 0.327 0.164 0.292
Se 0.673 0.836 0.708
Se 0.836 0.164 0.292
Se 0.836 0.673 0.292

## Properties
Its symmetry is P-3m1, No. 164.

(7)
VASP calculation (PBE) on a relaxed structure of Si2Ni3Pt.

abc: 3.506 3.506 6.010
angles: 90.00 90.00 90.00
Positions (direct):
Si 0.000 0.000 0.000
Si 0.500 0.500 0.498
Ni 0.000 0.500 0.757
Ni 0.500 0.000 0.757
Ni 0.500 0.500 0.115
Pt 0.000 0.000 0.387

## Properties
Its symmetry is P4mm, No. 99.

(8)
VASP calculation (PBE) on a relaxed structure of Si2NiPt.

abc: 3.511 3.850 8.080
angles: 90.00 90.00 90.00
Positions (direct):
Si 0.000 0.000 0.000
Si 0.000 0.000 0.500
Si 0.500 0.498 0.467
Si 0.500 0.502 0.967
Ni 0.500 0.003 0.817
Ni 0.500 0.997 0.317
Pt 0.000 0.498 0.183
Pt 0.000 0.502 0.683

## Properties
Its symmetry is Pmc2_1, No. 26.

(9)
VASP calculation (PBE) on a relaxed structure of TaSiNiPt.

abc: 4.346 4.346 4.346
angles: 60.00 60.00 60.00
Positions (direct):
Ta 0.000 0.000 0.000
Si 0.250 0.250 0.250
Ni 0.500 0.500 0.500
Pt 0.750 0.750 0.750

## Properties
The value obtained for the energy above the most stable polymorph in this dataset is 0 meV per atom. Its symmetry is F-43m, No. 216.

(10)
VASP calculation (PBE) on a relaxed structure of TaSiNiPt.

abc: 4.350 4.350 4.350
angles: 60.00 60.00 60.00
Positions (direct):
Ta 0.000 0.000 0.000
Si 0.500 0.500 0.500
Ni 0.750 0.750 0.750
Pt 0.250 0.250 0.250

## Properties
The value obtained for the energy above the most stable polymorph in this dataset is 58 meV per atom. Its symmetry is F-43m, No. 216.

(11)
VASP calculation (PBE) on a relaxed structure of Zr2Si2NiPt.

abc: 7.345 4.229 14.046
angles: 90.00 99.82 90.00
Positions (direct):
Zr 0.000 0.000 0.000
Zr 0.011 0.500 0.493
Zr 0.232 0.000 0.735
Zr 0.247 0.500 0.241
Zr 0.479 0.000 0.482
Zr 0.499 0.500 0.000
Zr 0.743 0.000 0.234
Zr 0.759 0.500 0.738
Si 0.121 0.000 0.361
Si 0.122 0.500 0.863
Si 0.368 0.500 0.612
Si 0.371 0.000 0.122
Si 0.616 0.500 0.362
Si 0.620 0.000 0.864
Si 0.873 0.000 0.613
Si 0.875 0.500 0.122
Ni 0.060 0.500 0.675
Ni 0.061 0.000 0.182
Ni 0.307 0.500 0.424
Ni 0.558 0.500 0.181
Pt 0.309 0.000 0.928
Pt 0.557 0.000 0.675
Pt 0.808 0.000 0.426
Pt 0.810 0.500 0.930

## Properties
Its symmetry is Pm, No. 6.

(12)
VASP calculation (PBE) on a relaxed structure of SmNiPt2.

abc: 5.311 5.311 7.205
angles: 90.00 90.00 135.04
Positions (direct):
Sm 0.060 0.940 0.750
Sm 0.940 0.060 0.250
Ni 0.228 0.772 0.250
Ni 0.772 0.228 0.750
Pt 0.357 0.643 0.556
Pt 0.357 0.643 0.944
Pt 0.643 0.357 0.056
Pt 0.643 0.357 0.444

## Properties
Its symmetry is Cmcm, No. 63. The value obtained for the energy of formation is -721.7 meV per atom.

no.,total DFT energy (no corrections) (eV/atom),magnetization (μB/f.u.)
1,-6.59,0.00
2,-5.41,0.01
3,-5.54,0.00
4,-4.65,0.52
5,-4.64,0.19
6,-4.52,0.00
7,-6.18,0.00
8,-6.00,0.00
9,-7.55,0.01
10,-7.49,0.00
11,-7.49,0.00
12,-6.32,0.02